No. 1
{"formula": "PrTm3Au2", "functional": "PBE", "state": "relaxed", "lattice": [[-4.146, -2.562, -0.804], [-0.532, -1.347, 7.039], [-4.801, 7.439, 1.061]], "species": ["Pr", "Pr", "Tm", "Tm", "Tm", "Tm", "Tm", "Tm", "Au", "Au", "Au", "Au"], "frac_coords": [[0.500, 0.014, 0.425], [0.500, 0.514, 0.575], [0.500, 0.148, 0.832], [0.500, 0.648, 0.168], [0.000, 0.851, 0.674], [0.000, 0.485, 0.931], [0.000, 0.351, 0.326], [0.000, 0.985, 0.069], [0.000, 0.750, 0.341], [0.000, 0.250, 0.659], [0.500, 0.752, 0.857], [0.500, 0.252, 0.143]], "density_g_cm3": 10.9, "final_energy_ev_per_atom": -4.7508, "space_group": "Pmc2_1, No. 26"}


No. 2
{"formula": "PrTm4Au5", "functional": "PBE", "state": "relaxed", "lattice": [[-2.532, -1.825, 1.707], [-1.447, -0.911, -3.120], [10.452, -14.949, -0.482]], "species": ["Au", "Au", "Au", "Au", "Au", "Tm", "Tm", "Tm", "Tm", "Pr"], "frac_coords": [[0.500, 0.500, 0.884], [0.500, 0.500, 0.500], [0.500, 0.500, 0.305], [0.500, 0.500, 0.116], [0.500, 0.500, 0.695], [0.000, 0.000, 0.206], [0.000, 0.000, 0.794], [0.000, 0.000, 0.598], [0.000, 0.000, 0.402], [0.000, 0.000, 0.000]], "density_g_cm3": 13.0, "final_energy_ev_per_atom": -4.7709, "space_group": "P4/mmm, No. 123"}


No. 3
{"formula": "PrTmAu4", "functional": "PBE", "state": "relaxed", "lattice": [[3.616, -0.947, 0.671], [-0.729, 5.206, 0.466], [0.769, 0.725, 7.575]], "species": ["Tm", "Pr", "Au", "Au", "Au", "Au"], "frac_coords": [[0.001, 0.997, 0.498], [0.501, 0.497, 0.998], [0.825, 0.488, 0.342], [0.353, 0.009, 0.808], [0.177, 0.507, 0.655], [0.650, 0.986, 0.188]], "density_g_cm3": 13.7, "polymorph_energy_mev_per_atom": 0, "final_energy_ev_per_atom": -4.5343, "space_group": "P-1, No. 2"}


No. 4
{"formula": "Pr2TmAu", "functional": "PBE", "state": "relaxed", "lattice": [[-0.284, 3.736, 0.452], [0.092, -0.446, 3.746], [8.381, 0.654, -0.129]], "species": ["Tm", "Au", "Pr", "Pr"], "frac_coords": [[0.500, 0.500, 0.500], [0.500, 0.500, 0.000], [0.000, 0.000, 0.784], [0.000, 0.000, 0.216]], "density_g_cm3": 9.0, "polymorph_energy_mev_per_atom": 20, "final_energy_ev_per_atom": -4.6525, "space_group": "P4/mmm, No. 123"}


No. 5
{"formula": "Pr5TmAu6", "functional": "PBE", "state": "relaxed", "lattice": [[5.166, -0.331, 0.846], [-0.020, 6.870, 2.817], [1.231, 0.319, 9.017]], "species": ["Pr", "Pr", "Pr", "Pr", "Pr", "Au", "Au", "Au", "Au", "Au", "Au", "Tm"], "frac_coords": [[0.329, 0.830, 0.341], [0.336, 0.336, 0.328], [0.671, 0.170, 0.659], [0.664, 0.664, 0.672], [0.000, 0.500, 0.000], [0.841, 0.078, 0.318], [0.500, 0.776, 0.000], [0.841, 0.605, 0.318], [0.159, 0.922, 0.682], [0.500, 0.224, 0.000], [0.159, 0.395, 0.682], [0.000, 0.000, 0.000]], "density_g_cm3": 11.1, "final_energy_ev_per_atom": -4.7678, "space_group": "C2/m, No. 12"}


No. 6
{"formula": "Pr2TmAu", "functional": "PBE", "state": "relaxed", "lattice": [[3.765, 0.000, 0.000], [1.882, 3.260, 0.000], [1.882, 1.087, 10.214]], "species": ["Pr", "Pr", "Tm", "Au"], "frac_coords": [[0.260, 0.260, 0.220], [0.073, 0.073, 0.780], [0.499, 0.499, 0.502], [0.667, 0.667, 0.998]], "density_g_cm3": 8.6, "polymorph_energy_mev_per_atom": 127, "final_energy_ev_per_atom": -4.5452, "space_group": "R3m, No. 160"}


No. 7
{"formula": "PrTmAu", "functional": "PBE", "state": "relaxed", "lattice": [[5.002, 0.000, 0.000], [0.000, 8.970, 0.000], [0.000, 0.000, 7.354]], "species": ["Au", "Au", "Au", "Au", "Tm", "Tm", "Tm", "Tm", "Pr", "Pr", "Pr", "Pr"], "frac_coords": [[0.250, 0.100, 0.242], [0.250, 0.400, 0.742], [0.750, 0.900, 0.758], [0.750, 0.600, 0.258], [0.250, 0.080, 0.853], [0.750, 0.920, 0.147], [0.250, 0.420, 0.353], [0.750, 0.580, 0.647], [0.750, 0.177, 0.514], [0.250, 0.823, 0.486], [0.250, 0.677, 0.986], [0.750, 0.323, 0.014]], "density_g_cm3": 10.2, "polymorph_energy_mev_per_atom": 0, "final_energy_ev_per_atom": -4.7771, "space_group": "Pnma, No. 62"}


No. 8
{"formula": "PrTmAu", "functional": "PBE", "state": "relaxed", "lattice": [[-4.365, -1.991, 0.600], [0.715, -0.128, 4.780], [-2.964, 6.683, 0.622]], "species": ["Au", "Au", "Tm", "Tm", "Pr", "Pr"], "frac_coords": [[0.980, 0.993, 0.100], [0.481, 0.493, 0.658], [0.481, 0.993, 0.879], [0.981, 0.493, 0.879], [0.981, 0.993, 0.500], [0.481, 0.493, 0.258]], "density_g_cm3": 9.8, "polymorph_energy_mev_per_atom": 12, "final_energy_ev_per_atom": -4.7648, "space_group": "P4/nmm, No. 129"}


No. 9
{"formula": "Pr2TmAu4", "functional": "PBE", "state": "relaxed", "lattice": [[-1.670, -4.794, -1.408], [-0.002, -1.484, 5.054], [-5.425, 5.148, -1.236]], "species": ["Pr", "Pr", "Tm", "Au", "Au", "Au", "Au"], "frac_coords": [[0.280, 0.280, 0.560], [0.720, 0.720, 0.440], [0.000, 0.000, 0.000], [0.111, 0.611, 0.222], [0.389, 0.889, 0.778], [0.611, 0.111, 0.222], [0.889, 0.389, 0.778]], "density_g_cm3": 11.2, "polymorph_energy_mev_per_atom": 0, "final_energy_ev_per_atom": -4.5431, "space_group": "I4/mmm, No. 139"}


No. 10
{"formula": "Pr2TmAu", "functional": "PBE", "state": "relaxed", "lattice": [[-0.299, 2.758, 2.196], [-2.244, -0.149, 2.732], [7.514, -3.499, 8.271]], "species": ["Pr", "Pr", "Tm", "Au"], "frac_coords": [[0.902, 0.902, 0.293], [0.098, 0.098, 0.707], [0.000, 0.000, 0.000], [0.500, 0.500, 0.500]], "density_g_cm3": 8.6, "polymorph_energy_mev_per_atom": 355, "final_energy_ev_per_atom": -4.3171, "space_group": "R-3m, No. 166"}


No. 11
{"formula": "PrTm5Au6", "functional": "PBE", "state": "relaxed", "lattice": [[0.069, 4.120, -2.972], [5.722, -2.536, -3.383], [-7.446, -4.331, -1.867]], "species": ["Tm", "Tm", "Tm", "Tm", "Tm", "Au", "Au", "Au", "Au", "Au", "Au", "Pr"], "frac_coords": [[0.665, 0.165, 0.330], [0.335, 0.835, 0.670], [0.668, 0.668, 0.336], [0.000, 0.500, 0.000], [0.332, 0.332, 0.664], [0.500, 0.270, 0.000], [0.173, 0.433, 0.346], [0.173, 0.913, 0.346], [0.500, 0.730, 0.000], [0.827, 0.567, 0.654], [0.827, 0.087, 0.654], [0.000, 0.000, 0.000]], "density_g_cm3": 13.0, "final_energy_ev_per_atom": -4.7591, "space_group": "C2/m, No. 12"}


No. 12
{"formula": "PrTmAu", "functional": "PBE", "state": "relaxed", "lattice": [[4.066, 0.000, 0.000], [0.000, 4.907, 0.000], [0.000, -2.453, 4.250]], "species": ["Pr", "Au", "Tm"], "frac_coords": [[0.689, 0.667, 0.333], [0.115, 0.000, 0.000], [0.197, 0.333, 0.667]], "density_g_cm3": 9.9, "polymorph_energy_mev_per_atom": 184, "final_energy_ev_per_atom": -4.5928, "space_group": "P3m1, No. 156"}


No. 13
{"formula": "PrTmAu4", "functional": "PBE", "state": "relaxed", "lattice": [[-2.510, 0.982, -2.663], [0.109, -3.519, -1.400], [-6.896, -2.442, 5.598]], "species": ["Au", "Au", "Au", "Au", "Pr", "Tm"], "frac_coords": [[0.500, 0.500, 0.177], [0.000, 0.000, 0.657], [0.000, 0.000, 0.343], [0.500, 0.500, 0.823], [0.000, 0.000, 0.000], [0.500, 0.500, 0.500]], "density_g_cm3": 13.8, "polymorph_energy_mev_per_atom": 4, "final_energy_ev_per_atom": -4.5302, "space_group": "P4/mmm, No. 123"}


No. 14
{"formula": "Pr2TmAu4", "functional": "PBE", "state": "relaxed", "lattice": [[5.285, 0.000, 0.000], [0.000, 5.285, 0.000], [-2.643, -2.643, 7.620]], "species": ["Pr", "Pr", "Au", "Au", "Au", "Au", "Tm"], "frac_coords": [[0.623, 0.623, 0.246], [0.377, 0.377, 0.754], [0.500, 0.000, 0.000], [0.818, 0.818, 0.636], [0.000, 0.500, 0.000], [0.182, 0.182, 0.364], [0.000, 0.000, 0.000]], "density_g_cm3": 9.7, "polymorph_energy_mev_per_atom": 314, "final_energy_ev_per_atom": -4.2290, "space_group": "I4/mmm, No. 139"}


No. 15
{"formula": "Pr2TmAu", "functional": "PBE", "state": "relaxed", "lattice": [[3.787, 0.003, 0.015], [1.897, 3.271, -0.301], [-0.035, -1.251, 10.232]], "species": ["Pr", "Pr", "Tm", "Au"], "frac_coords": [[0.348, 0.057, 0.235], [0.918, 0.921, 0.538], [0.487, 0.780, 0.826], [0.757, 0.239, 0.012]], "density_g_cm3": 8.6, "polymorph_energy_mev_per_atom": 0, "final_energy_ev_per_atom": -4.6721, "space_group": "Cm, No. 8"}


No. 16
{"formula": "PrVAu", "functional": "PBE", "state": "relaxed", "lattice": [[5.182, 0.000, 0.000], [-2.591, 2.588, 0.000], [0.000, 0.000, 10.170]], "species": ["Pr", "Pr", "Au", "Au", "V", "V"], "frac_coords": [[0.194, 0.388, 0.190], [0.194, 0.388, 0.810], [0.195, 0.390, 0.500], [0.694, 0.387, 0.000], [0.695, 0.390, 0.596], [0.695, 0.390, 0.404]], "density_g_cm3": 9.5, "final_energy_ev_per_atom": -5.7971, "space_group": "Amm2, No. 38"}


No. 17
{"formula": "PrYAu2", "functional": "PBE", "state": "relaxed", "lattice": [[5.207, 0.000, 0.000], [2.604, 4.509, 0.000], [2.604, 1.503, 4.252]], "species": ["Pr", "Au", "Au", "Y"], "frac_coords": [[0.000, 0.000, 0.000], [0.250, 0.250, 0.250], [0.750, 0.750, 0.750], [0.500, 0.500, 0.500]], "density_g_cm3": 10.4, "polymorph_energy_mev_per_atom": 40, "final_energy_ev_per_atom": -5.2331, "space_group": "Fm-3m, No. 225"}


No. 18
{"formula": "PrY2Au", "functional": "PBE", "state": "relaxed", "lattice": [[-4.430, 3.685, 3.455], [1.225, -3.908, 5.739], [7.380, 6.316, 2.726]], "species": ["Pr", "Pr", "Pr", "Pr", "Y", "Y", "Y", "Y", "Y", "Y", "Y", "Y", "Au", "Au", "Au", "Au"], "frac_coords": [[0.870, 0.002, 0.250], [0.130, 0.998, 0.750], [0.370, 0.498, 0.750], [0.630, 0.502, 0.250], [0.322, 0.183, 0.053], [0.322, 0.183, 0.447], [0.178, 0.683, 0.447], [0.822, 0.317, 0.553], [0.678, 0.817, 0.947], [0.822, 0.317, 0.947], [0.178, 0.683, 0.053], [0.678, 0.817, 0.553], [0.928, 0.608, 0.750], [0.572, 0.108, 0.750], [0.072, 0.392, 0.250], [0.428, 0.892, 0.250]], "density_g_cm3": 7.2, "polymorph_energy_mev_per_atom": 0, "final_energy_ev_per_atom": -5.6778, "space_group": "Pnma, No. 62"}


No. 19
{"formula": "Pr3YAu7", "functional": "PBE", "state": "relaxed", "lattice": [[-2.825, 2.035, -1.637], [-2.639, -10.196, -3.599], [-7.502, -1.826, 10.674]], "species": ["Au", "Au", "Au", "Au", "Au", "Au", "Au", "Au", "Au", "Au", "Au", "Au", "Au", "Au", "Pr", "Pr", "Pr", "Pr", "Pr", "Pr", "Y", "Y"], "frac_coords": [[0.723, 0.446, 0.568], [0.529, 0.059, 0.412], [0.529, 0.059, 0.088], [0.600, 0.199, 0.639], [0.277, 0.554, 0.432], [0.620, 0.241, 0.250], [0.400, 0.801, 0.139], [0.400, 0.801, 0.361], [0.277, 0.554, 0.068], [0.471, 0.941, 0.588], [0.600, 0.199, 0.861], [0.471, 0.941, 0.912], [0.380, 0.759, 0.750], [0.723, 0.446, 0.932], [0.198, 0.397, 0.750], [0.136, 0.273, 0.053], [0.802, 0.603, 0.250], [0.864, 0.727, 0.553], [0.136, 0.273, 0.447], [0.864, 0.727, 0.947], [0.995, 0.990, 0.250], [0.005, 0.010, 0.750]], "density_g_cm3": 11.3, "final_energy_ev_per_atom": -4.6782, "space_group": "Cmcm, No. 63"}


No. 20
{"formula": "Pr2YAu6", "functional": "PBE", "state": "relaxed", "lattice": [[-1.088, -3.222, 4.394], [-3.181, -4.358, -3.982], [6.575, -0.676, 1.133]], "species": ["Pr", "Pr", "Au", "Au", "Au", "Au", "Au", "Au", "Y"], "frac_coords": [[0.336, 0.667, 0.333], [0.664, 0.333, 0.667], [0.825, 0.811, 0.189], [0.825, 0.811, 0.622], [0.825, 0.378, 0.189], [0.175, 0.622, 0.811], [0.175, 0.189, 0.378], [0.175, 0.189, 0.811], [0.500, 0.000, 0.000]], "density_g_cm3": 11.9, "final_energy_ev_per_atom": -4.5966, "space_group": "P-3m1, No. 164"}